Computed, not measured: a PBEsol-optimized structure of RbBSe2Br at the SCAN level of DFT.

## Properties
Spin magnetization: 3.00 Bohr magnetons per cell
N(E_F): 5.0 states/eV per cell
Formation energy (no corrections): 1479 meV per atom

Cell: 6.1156 6.1233 6.1233 Å, 90.00 90.00 90.00°
Last column: magnetic moment on the atom in μB.
Fractional positions:
Se (0.0000, 0.5000, 0.0000)  0.92
Se (0.0000, 0.0000, 0.5000)  0.92
B (0.5000, 0.5000, 0.5000)  -0.17
Br (0.5000, 0.0000, 0.0000)  0.15
Rb (0.0000, 0.0000, 0.0000)  0.04